TcBiPb2, optimized geometry, DFT PBE; energy = -4.670 eV/atom; calculated volume = 217 Å³ per cell; energy of formation from the pure elements = 0.746 eV/atom
1.0
4.4307 0.0000 0.0000
0.0000 4.4307 0.0000
2.2154 2.2154 11.0581
Bi Pb Tc
2 4 2
direct
0.0000 0.0000 0.0000
0.7500 0.2500 0.5000
0.1371 0.6250 0.2500
0.6129 0.1250 0.2500
0.8750 0.8629 0.7500
0.3750 0.3871 0.7500
0.5000 0.5000 0.0000
0.2500 0.7500 0.5000